La4TcTeCl2 | Alexandria via LeMat-Bulk | PBE-GGA | relaxed; raw formation energy = -1.164 eV per atom; density = 5.82 Mg/m³; symmetry = P2/m
1.0
4.258 0.000 0.000
0.000 7.489 -0.203
0.000 2.609 7.556
La Tc Te Cl
4 1 1 2
Direct
0.000 0.726 0.709 La
0.000 0.274 0.291 La
0.500 0.728 0.285 La
0.500 0.272 0.715 La
0.000 0.500 0.500 Tc
0.500 0.500 0.000 Te
0.000 0.000 0.000 Cl
0.500 0.000 0.500 Cl


LaThTcCl | Alexandria via LeMat-Bulk | PBE-GGA | relaxed; raw formation energy = -0.676 eV per atom; density = 7.35 Mg/m³; symmetry = Cm
1.0
-1.697 2.272 -2.959
-2.289 -2.798 1.934
-0.158 4.754 6.581
La Th Tc Cl
1 1 1 1
Direct
0.493 0.153 0.662 La
0.088 0.955 0.058 Th
0.333 0.539 0.887 Tc
0.964 0.384 0.363 Cl


La2TcWCl | Alexandria via LeMat-Bulk | PBE-GGA | relaxed; raw formation energy = 0.704 eV per atom; density = 7.69 Mg/m³; symmetry = P4/mmm
1.0
-4.183 1.256 -3.204
2.553 -0.484 -3.523
-1.365 -5.235 -0.270
Cl Tc W La
1 1 1 2
Direct
0.000 0.000 0.000 Cl
0.500 0.500 0.500 Tc
0.000 0.500 0.000 W
0.000 0.000 0.500 La
0.500 0.000 0.000 La


La6ZnTc2Cl3 | Alexandria via LeMat-Bulk | PBE-GGA | relaxed; raw formation energy = -0.813 eV per atom; density = 5.62 Mg/m³; symmetry = C2/m
1.0
4.131 0.000 0.000
0.000 9.218 -0.106
-2.065 -3.113 9.356
La Zn Tc Cl
6 1 2 3
Direct
0.339 0.889 0.678 La
0.679 0.562 0.358 La
0.661 0.111 0.322 La
0.021 0.258 0.042 La
0.979 0.742 0.958 La
0.321 0.438 0.642 La
0.500 0.000 0.000 Zn
0.848 0.674 0.696 Tc
0.152 0.326 0.304 Tc
0.500 0.500 0.000 Cl
0.823 0.162 0.647 Cl
0.177 0.838 0.353 Cl